# 1
YMgNi2Ge2 | PBE-GGA | relaxed

a = 4.1534 Å, b = 4.1534 Å, c = 6.6864 Å
α = 90.00°, β = 90.00°, γ = 120.00°
Sites, in units of the cell vectors:
Y 0.0000 0.0000 0.0000
Ge 0.6667 0.3333 0.7212
Ge 0.3333 0.6667 0.2788
Mg 0.0000 0.0000 0.5000
Ni 0.3333 0.6667 0.6774
Ni 0.6667 0.3333 0.3226

Properties
SG   P-3m1, No. 164
Density   6.2 g/cm3
Density of states at the Fermi level   0.522 states/eV per atom
VASP energy   -5.4095 eV/atom
ΔH_f (0 K)   -0.600 eV per atom

# 2
CeSm2Y12 | PBE-GGA | relaxed

a = 6.6986 Å, b = 6.6986 Å, c = 24.9934 Å
α = 83.47°, β = 96.53°, γ = 64.35°
Site moments in Bohr magnetons follow the coordinates.
Sites, in units of the cell vectors:
Y 0.3282 0.6617 0.4450  0.00
Y 0.4050 0.0950 0.8654  0.02
Y 0.8982 0.1010 0.1994  -0.01
Y 0.0069 0.0011 0.6702  0.00
Y 0.5485 0.4408 0.0726  0.02
Y 0.8383 0.1718 0.4450  0.00
Y 0.4989 0.4931 0.6702  0.00
Y 0.1718 0.8383 0.5550  0.00
Y 0.1010 0.8982 0.8006  -0.01
Y 0.1719 0.3281 0.5697  0.00
Y 0.4408 0.5485 0.9274  0.02
Y 0.9515 0.0592 0.9274  0.02
Y 0.8128 0.6872 0.4224  0.00
Y 0.0950 0.4050 0.1346  0.02
Y 0.0011 0.0069 0.3298  0.00
Y 0.6036 0.8964 0.1338  0.02
Y 0.6872 0.8128 0.5776  0.00
Y 0.8964 0.6036 0.8662  0.02
Y 0.4931 0.4989 0.3298  0.00
Y 0.3281 0.1719 0.4303  0.00
Y 0.3990 0.6018 0.1994  -0.01
Y 0.6018 0.3990 0.8006  -0.01
Y 0.6617 0.3282 0.5550  0.00
Y 0.0592 0.9515 0.0726  0.02
Sm 0.0443 0.4557 0.7301  0.00
Sm 0.4557 0.0443 0.2699  0.00
Sm 0.5515 0.9485 0.7285  0.00
Sm 0.9485 0.5515 0.2715  0.00
Ce 0.9424 0.5576 0.0003  0.56
Ce 0.5576 0.9424 0.9997  0.56

Properties
SG   C2/m, No. 12
Density   5.1 g/cm3
Density of states at the Fermi level   1.637 states/eV per atom
VASP energy   -6.0737 eV/atom
ΔH_f (0 K)   0.122 eV per atom

# 3
Li2NiAg | PBE-GGA | relaxed

a = 4.2852 Å, b = 2.6740 Å, c = 5.0596 Å
α = 78.66°, β = 90.00°, γ = 90.00°
Sites, in units of the cell vectors:
Li 0.5000 0.2411 0.2609
Li 0.0000 0.0500 0.0017
Ag 0.5000 0.7598 0.7424
Ni 0.0000 0.4491 0.4951

Properties
SG   Pm, No. 6
Density   5.3 g/cm3
Density of states at the Fermi level   0.511 states/eV per atom
VASP energy   -3.1056 eV/atom
ΔH_f (0 K)   0.010 eV per atom